[1]
This record from Alexandria via LeMat-Bulk describes a relaxed structure of KTl2Cd. The functional is PBE-GGA.

Properties
Calculated density = 7.0 g/cm3
Calculated total energy = -1.727 eV per atom
Energy of formation = -0.16 eV per formula unit
Magnetic moment = 0.0 μB/f.u.
DOS at the Fermi energy = 0.388 states/eV per atom

a b c (Å): 4.074 4.074 8.033
angles (deg): 90.00 90.00 90.00
Fractional coordinates of all 4 atoms:
Tl  0.000  0.000  0.039
Tl  0.500  0.500  0.263
K  0.500  0.500  0.746
Cd  0.000  0.000  0.452



[2]
This record from Alexandria via LeMat-Bulk describes a relaxed structure of Na2GaTe2. The functional is PBE-GGA.

Properties
Calculated density = 4.3 g/cm3
Formation energy from raw total energies = -0.475 eV/atom
Calculated total energy = -2.864 eV per atom
Offset from the most stable computed form = 16.6 kJ/mol of atoms
Magnetic moment = 0.0 μB/f.u.
DOS at the Fermi energy = 0.178 states/eV per atom

a b c (Å): 9.278 9.278 3.309
angles (deg): 90.00 90.00 90.00
Fractional coordinates of all 10 atoms:
Na  0.129  0.629  0.500
Na  0.629  0.871  0.500
Na  0.871  0.371  0.500
Na  0.371  0.129  0.500
Te  0.330  0.830  0.000
Te  0.830  0.670  0.000
Te  0.670  0.170  0.000
Te  0.170  0.330  0.000
Ga  0.000  0.000  0.000
Ga  0.500  0.500  0.000



[3]
This record from Alexandria via LeMat-Bulk describes a relaxed structure of Ba2LaAl. The functional is PBE-GGA.

Properties
Calculated density = 4.9 g/cm3
Calculated total energy = -3.005 eV per atom
Energy of formation = 0.49 eV per formula unit
Magnetic moment = 0.0 μB/f.u.
DOS at the Fermi energy = 1.318 states/eV per atom

a b c (Å): 6.410 6.410 6.410
angles (deg): 130.46 130.46 72.67
Fractional coordinates of all 4 atoms:
Al  0.750  0.250  0.500
Ba  0.000  0.000  0.000
Ba  0.250  0.750  0.500
La  0.500  0.500  0.000



[4]
This record from Alexandria via LeMat-Bulk describes a relaxed structure of Cu5SbRh6. The functional is PBE-GGA.

Properties
Calculated density = 10.6 g/cm3
Formation energy from raw total energies = -0.019 eV/atom
Calculated total energy = -5.745 eV per atom
Magnetic moment = 1.1 μB/f.u.
DOS at the Fermi energy = 1.762 states/eV per atom

a b c (Å): 4.291 6.015 6.774
angles (deg): 90.00 108.16 90.00
Each line ends with the local moment (μB).
Fractional coordinates of all 12 atoms:
Sb  0.000  0.000  0.000  -0.01
Rh  0.835  0.743  0.663  0.17
Rh  0.835  0.257  0.663  0.17
Rh  0.500  0.251  0.000  0.10
Rh  0.500  0.749  0.000  0.10
Rh  0.165  0.743  0.337  0.17
Rh  0.165  0.257  0.337  0.17
Cu  0.661  0.500  0.328  0.06
Cu  0.330  0.000  0.654  0.05
Cu  0.000  0.500  0.000  0.03
Cu  0.670  0.000  0.346  0.05
Cu  0.339  0.500  0.672  0.06



[5]
This record from Alexandria via LeMat-Bulk describes a relaxed structure of Fe5Ni3. The functional is PBE-GGA.

Properties
Calculated density = 7.9 g/cm3
Calculated total energy = -7.335 eV per atom
Offset from the most stable computed form = 12.6 kJ/mol of atoms
Energy of formation = 0.97 eV per formula unit
Magnetic moment = 15.2 μB/f.u.
DOS at the Fermi energy = 1.258 states/eV per atom

a b c (Å): 6.965 6.965 4.541
angles (deg): 90.00 90.00 120.00
Each line ends with the local moment (μB).
Fractional coordinates of all 16 atoms:
Ni  0.596  0.000  0.250  0.72
Ni  0.404  0.000  0.750  0.72
Ni  0.000  0.596  0.250  0.72
Ni  0.404  0.404  0.250  0.72
Ni  0.596  0.596  0.750  0.72
Ni  0.000  0.404  0.750  0.72
Fe  0.333  0.667  0.000  2.41
Fe  0.667  0.333  0.500  2.41
Fe  0.667  0.333  0.000  2.41
Fe  0.333  0.667  0.500  2.41
Fe  0.234  0.000  0.250  2.84
Fe  0.766  0.000  0.750  2.84
Fe  0.000  0.234  0.250  2.84
Fe  0.766  0.766  0.250  2.84
Fe  0.234  0.234  0.750  2.84
Fe  0.000  0.766  0.750  2.84



[6]
This record from Alexandria via LeMat-Bulk describes a relaxed structure of Pm6ThS8. The functional is PBE-GGA.

Properties
Calculated density = 6.1 g/cm3
Formation energy from raw total energies = -2.005 eV/atom
Calculated total energy = -6.601 eV per atom
Magnetic moment = 0.0 μB/f.u.
DOS at the Fermi energy = 0.654 states/eV per atom

a b c (Å): 8.056 8.056 8.056
angles (deg): 60.00 60.00 60.00
Fractional coordinates of all 15 atoms:
Pm  0.000  0.500  0.500
Pm  0.500  0.000  0.000
Pm  0.500  0.500  0.000
Pm  0.000  0.000  0.500
Pm  0.000  0.500  0.000
Pm  0.500  0.000  0.500
Th  0.000  0.000  0.000
S  0.750  0.750  0.750
S  0.250  0.250  0.250
S  0.749  0.251  0.251
S  0.251  0.749  0.749
S  0.251  0.251  0.749
S  0.749  0.749  0.251
S  0.749  0.251  0.749
S  0.251  0.749  0.251



[7]
This record from Alexandria via LeMat-Bulk describes a relaxed structure of Ca4InAg. The functional is PBE-GGA.

Properties
Calculated density = 3.1 g/cm3
Calculated total energy = -1.967 eV per atom
Offset from the most stable computed form = 55.1 kJ/mol of atoms
Energy of formation = 1.79 eV per formula unit
Magnetic moment = 0.0 μB/f.u.
DOS at the Fermi energy = 1.090 states/eV per atom

a b c (Å): 6.653 6.653 6.653
angles (deg): 60.00 60.00 60.00
Fractional coordinates of all 6 atoms:
Ca  0.874  0.375  0.375
Ca  0.375  0.375  0.874
Ca  0.375  0.874  0.375
Ca  0.375  0.375  0.375
In  0.750  0.750  0.750
Ag  0.000  0.000  0.000



[8]
This record from Alexandria via LeMat-Bulk describes a relaxed structure of CsRb2Cd2. The functional is PBE-GGA.

Properties
Calculated density = 3.2 g/cm3
Calculated total energy = -0.868 eV per atom
Offset from the most stable computed form = 8.4 kJ/mol of atoms
Energy of formation = 0.28 eV per formula unit
Magnetic moment = 0.0 μB/f.u.
DOS at the Fermi energy = 1.504 states/eV per atom

a b c (Å): 11.018 11.018 4.462
angles (deg): 90.00 90.00 90.00
Fractional coordinates of all 10 atoms:
Cs  0.000  0.000  0.000
Cs  0.500  0.500  0.000
Rb  0.369  0.869  0.000
Rb  0.869  0.631  0.000
Rb  0.631  0.131  0.000
Rb  0.131  0.369  0.000
Cd  0.165  0.665  0.500
Cd  0.665  0.835  0.500
Cd  0.835  0.335  0.500
Cd  0.335  0.165  0.500



Look up the DOS at the Fermi energy of the second one. 0.178 states/eV per atom



Among the records above, which one has the highest calculated density? Cu5SbRh6



Which of these has the lowest DOS at the Fermi energy? Na2GaTe2